A plane-wave DFT calculation with SCAN was carried out for ZnCo2Se at its PBEsol-relaxed geometry.

Lattice parameters (Å, degrees): 6.417 6.417 5.264 90.00 90.00 90.00
Space group I-42d (No. 122)
Symmetry-distinct sites (fractional):
Zn1 0.000 0.000 0.000 [4 per cell]
Co1 0.211 0.750 0.625 [8 per cell]
Se1 0.000 0.000 0.500 [4 per cell]

For the energy above the lowest structure with this stoichiometry, the calculation gives 0.2538 eV/atom. Its energy relative to the elements, uncorrected is 0.55 eV/atom. The value obtained for the density of states at the Fermi level is 12.72 states/eV/cell. The crystal system is tetragonal.